Entry 1:
{
  "formula": "AcCd3Au2",
  "functional": "PBE",
  "state": "optimized geometry",
  "magnetic_moment_mub_per_atom": 0.00,
  "spacegroup": "P6/mmm (191)",
  "relative_energy_mev_per_atom": 0,
  "formation_enthalpy_0k_ev_per_atom": -0.45,
  "crystal_system": "hexagonal",
  "volume_a3_per_atom": 24.612,
  "lattice": [[-2.371, -2.788, 2.607], [9.023, -3.408, 4.561], [-5.250, 8.322, 4.125]],
  "species": ["Ac", "Ac", "Ac", "Cd", "Cd", "Cd", "Cd", "Cd", "Cd", "Cd", "Cd", "Cd", "Au", "Au", "Au", "Au", "Au", "Au"],
  "fractional_positions": [[0.500, 0.000, 0.000], [0.000, 0.667, 0.333], [0.000, 0.333, 0.667], [0.500, 0.500, 0.500], [0.500, 0.000, 0.500], [0.500, 0.500, 0.000], [0.000, 0.712, 0.712], [0.000, 0.000, 0.288], [0.000, 0.288, 0.000], [0.000, 0.288, 0.288], [0.000, 0.000, 0.712], [0.000, 0.712, 0.000], [0.500, 0.801, 0.199], [0.500, 0.397, 0.199], [0.500, 0.801, 0.603], [0.500, 0.199, 0.801], [0.500, 0.603, 0.801], [0.500, 0.199, 0.397]]
}



Entry 2:
{
  "formula": "AcCd2Au2",
  "functional": "PBE",
  "state": "optimized geometry",
  "magnetic_moment_mub_per_atom": 0.00,
  "spacegroup": "I4/mmm (139)",
  "relative_energy_mev_per_atom": 0,
  "formation_enthalpy_0k_ev_per_atom": -0.56,
  "crystal_system": "tetragonal",
  "volume_a3_per_atom": 25.124,
  "lattice": [[-2.563, -2.734, 2.232], [3.523, -2.151, 1.411], [-0.153, 6.426, 3.433]],
  "species": ["Ac", "Cd", "Cd", "Au", "Au"],
  "fractional_positions": [[0.000, 0.000, 0.000], [0.750, 0.250, 0.500], [0.250, 0.750, 0.500], [0.605, 0.605, 0.211], [0.395, 0.395, 0.789]]
}



Entry 3:
{
  "formula": "Ac2Cd15Au2",
  "functional": "PBE",
  "state": "optimized geometry",
  "magnetic_moment_mub_per_atom": 0.00,
  "spacegroup": "R-3m (166)",
  "formation_enthalpy_0k_ev_per_atom": -0.21,
  "crystal_system": "trigonal",
  "volume_a3_per_atom": 23.744,
  "lattice": [[7.729, -0.004, -0.004], [0.998, 7.664, -0.004], [0.998, 0.876, 7.614]],
  "species": ["Ac", "Ac", "Cd", "Cd", "Cd", "Cd", "Cd", "Cd", "Cd", "Cd", "Cd", "Cd", "Cd", "Cd", "Cd", "Cd", "Cd", "Au", "Au"],
  "fractional_positions": [[0.335, 0.335, 0.335], [0.665, 0.665, 0.665], [0.500, 0.000, 0.000], [0.000, 0.000, 0.500], [0.000, 0.500, 0.000], [0.000, 0.710, 0.290], [0.710, 0.290, 0.000], [0.290, 0.000, 0.710], [0.290, 0.710, 0.000], [0.710, 0.000, 0.290], [0.000, 0.290, 0.710], [0.159, 0.645, 0.645], [0.645, 0.645, 0.159], [0.645, 0.159, 0.645], [0.841, 0.355, 0.355], [0.355, 0.355, 0.841], [0.355, 0.841, 0.355], [0.119, 0.119, 0.119], [0.881, 0.881, 0.881]]
}



Entry 4:
{
  "formula": "AcCd2Au2",
  "functional": "PBE",
  "state": "optimized geometry",
  "magnetic_moment_mub_per_atom": 0.00,
  "spacegroup": "P4/mmm (123)",
  "relative_energy_mev_per_atom": 18,
  "formation_enthalpy_0k_ev_per_atom": -0.54,
  "crystal_system": "tetragonal",
  "volume_a3_per_atom": 25.227,
  "lattice": [[-4.329, 0.373, -0.297], [0.155, -1.466, -4.098], [-0.689, -6.237, 2.205]],
  "species": ["Ac", "Cd", "Cd", "Au", "Au"],
  "fractional_positions": [[0.000, 0.000, 0.000], [0.500, 0.000, 0.500], [0.000, 0.500, 0.500], [0.500, 0.500, 0.791], [0.500, 0.500, 0.209]]
}